{
  "formula": "HgPtAu2",
  "functional": "PBE",
  "state": "optimized geometry",
  "crystal_system": "tetragonal",
  "volume_a3_per_atom": 18.17,
  "formation_enthalpy_0k_ev_per_atom": 0.07,
  "sg": "I4/mmm, No. 139",
  "cell": [[-0.849, 2.400, 4.443], [-1.521, -3.380, 3.533], [3.990, 0.042, -3.210]],
  "species": ["Hg", "Pt", "Au", "Au"],
  "frac_coords": [[0.250, 0.750, 0.500], [0.750, 0.250, 0.500], [0.000, 0.000, 0.000], [0.500, 0.500, 0.000]]
}